BaTlBi4 | PBE | optimized geometry

The calculation puts the total magnetization at 0.0 μB per cell. Its total energy is -3.58 eV/atom. Its formation energy is -1.69 eV/f.u.

abc: 5.4327 7.1200 10.9611
angles: 90.00 90.00 90.00
Closest atoms and distances in Å follow each position.
Atoms (fractional coordinates):
Ba 0.0000 0.0000 0.0000  2 Tl 3.56, 12 Bi 3.85-3.93
Ba 0.5000 0.5000 0.5000  2 Tl 3.56, 12 Bi 3.85-3.93
Tl 0.0000 0.5000 0.0000  2 Ba 3.56, 8 Bi 3.67
Tl 0.5000 0.0000 0.5000  2 Ba 3.56, 8 Bi 3.67
Bi 0.0000 0.2227 0.3283  3 Bi 3.17-3.24
Bi 0.0000 0.2227 0.6717  3 Bi 3.17-3.24
Bi 0.0000 0.7773 0.3283  3 Bi 3.17-3.24
Bi 0.0000 0.7773 0.6717  3 Bi 3.17-3.24
Bi 0.5000 0.2773 0.1717  3 Bi 3.17-3.24
Bi 0.5000 0.2773 0.8283  3 Bi 3.17-3.24
Bi 0.5000 0.7227 0.1717  3 Bi 3.17-3.24
Bi 0.5000 0.7227 0.8283  3 Bi 3.17-3.24